No. 1
Density functional theory data (GGA-PBE) for a relaxed Ba2La crystal.

The value obtained for the energy above the lowest structure with this stoichiometry is 29 meV/atom. The total energy comes out at -16.59 eV/cell. As for the space group: Cm. The energy of formation from the pure elements is 0.159 eV/atom.

Lattice parameters (Å, degrees): 8.022 8.022 10.030 74.88 74.88 29.90
Sites, in units of the cell vectors:
La 0.932 0.932 0.633
La 0.287 0.287 0.917
Ba 0.342 0.342 0.344
Ba 0.616 0.616 0.275
Ba 0.993 0.993 0.994
Ba 0.662 0.662 0.669


No. 2
Density functional theory data (GGA-PBE) for a relaxed Ba2La crystal.

The value obtained for the energy above the lowest structure with this stoichiometry is 61 meV/atom. The total energy comes out at -8.20 eV/cell. As for the space group: Immm. The energy of formation from the pure elements is 0.191 eV/atom.

Lattice parameters (Å, degrees): 7.235 7.235 7.235 147.23 131.64 59.65
Sites, in units of the cell vectors:
Ba 0.662 0.662 0.000
Ba 0.338 0.338 0.000
La 0.000 0.000 0.000